A relaxed NaPuH2F8 crystal, computed with PBE.

Geometry as POSCAR:
```
NaPuH2F8
1.0
4.795 0.000 0.000
1.296 4.878 0.000
0.002 0.962 7.236
Na Pu H F
1 1 2 8
direct
0.000 0.000 0.000 Na
0.000 0.000 0.500 Pu
0.273 0.456 0.856 H
0.727 0.544 0.144 H
0.216 0.794 0.295 F
0.219 0.735 0.741 F
0.273 0.246 0.496 F
0.293 0.291 0.947 F
0.707 0.709 0.053 F
0.727 0.754 0.504 F
0.781 0.265 0.259 F
0.784 0.206 0.705 F
```

Properties
**Total DFT energy (no corrections)**: -68.19 eV per cell
**Total magnetic moment**: 3.0 μB per cell
**Crystal system**: triclinic



A relaxed LaCuOs2 crystal, computed with PBE.

Geometry as POSCAR:
```
LaCuOs2
1.0
2.879 0.000 0.000
0.000 4.549 0.000
-0.780 0.000 5.458
La Cu Os
1 1 2
direct
0.000 0.000 0.000 La
0.500 0.000 0.500 Cu
0.305 0.500 0.697 Os
0.695 0.500 0.303 Os
```

Properties
**Total magnetic moment**: 0.0 μB per cell
**DFT formation energy**: 2.0 eV/f.u.
**Crystal system**: monoclinic
**Distance to the lowest polymorph of the same formula**: 0.242 eV per atom



A relaxed Sr3HPb crystal, computed with PBE.

Geometry as POSCAR:
```
Sr3HPb
1.0
5.210 -7.336 0.000
5.210 7.336 0.000
0.000 0.000 4.353
Sr H Pb
6 2 2
direct
0.183 0.430 0.500 Sr
0.185 0.815 0.000 Sr
0.430 0.183 0.500 Sr
0.570 0.817 0.500 Sr
0.815 0.185 0.000 Sr
0.817 0.570 0.500 Sr
0.000 0.500 0.000 H
0.500 0.000 0.000 H
0.000 0.000 0.500 Pb
0.500 0.500 0.000 Pb
```

Properties
**Total magnetic moment**: 0.0 μB per cell
**Crystal system**: orthorhombic
**Distance to the lowest polymorph of the same formula**: 0.060 eV per atom